{
  "formula": "Mn2CrO6",
  "functional": "PBE with a Hubbard U",
  "state": "optimized geometry",
  "cell": [[0.163, -4.475, -5.047], [2.297, -2.631, -5.773], [4.106, -4.095, 1.672]],
  "species": ["O", "O", "O", "O", "O", "O", "Mn", "Mn", "Cr"],
  "fractional_positions": [[0.155, 0.155, 0.383], [0.514, 0.514, 0.281], [0.180, 0.180, 0.948], [0.486, 0.486, 0.719], [0.820, 0.820, 0.052], [0.845, 0.845, 0.617], [0.667, 0.667, 0.166], [0.333, 0.333, 0.834], [0.000, 0.000, 0.500]],
  "de_polymorph_ev_per_atom": 0.000,
  "total_energy_ha_per_atom": -0.26283
}